NaVSiCO7: optimized geometry, GGA-PBEsol.

Values from the calculation:
Final energy: -7.8192 eV per atom
Density of states at the Fermi level: 0.00 states/eV/f.u.
Uncorrected formation energy: -47.88 kcal/mol of atoms
Crystal system: monoclinic

```
data_NaVSiCO7
_chemical_formula_sum 'Na2 V2 Si2 C2 O14'
_symmetry_space_group_name_H-M 'P 1'
_symmetry_Int_Tables_number 1
_symmetry_space_group_name_Hall 'P 1'
_cell_length_a 5.457
_cell_length_b 6.347
_cell_length_c 9.136
_cell_angle_alpha 90.00
_cell_angle_beta 92.28
_cell_angle_gamma 90.00
loop_
_atom_site_label
_atom_site_type_symbol
_atom_site_fract_x
_atom_site_fract_y
_atom_site_fract_z
_atom_site_occupancy
C1 C 0.329 0.751 0.091 1
C2 C 0.671 0.251 0.909 1
O1 O 0.206 0.044 0.340 1
O2 O 0.103 0.744 0.144 1
O3 O 0.221 0.460 0.347 1
O4 O 0.488 0.767 0.203 1
O5 O 0.897 0.244 0.856 1
O6 O 0.375 0.739 0.961 1
O7 O 0.779 0.960 0.653 1
O8 O 0.078 0.256 0.580 1
O9 O 0.794 0.544 0.660 1
O10 O 0.922 0.756 0.420 1
O11 O 0.452 0.751 0.491 1
O12 O 0.512 0.267 0.797 1
O13 O 0.625 0.239 0.039 1
O14 O 0.548 0.251 0.509 1
Na1 Na 0.188 0.506 0.809 1
Na2 Na 0.812 0.006 0.191 1
Si1 Si 0.263 0.244 0.443 1
Si2 Si 0.737 0.744 0.557 1
V1 V 0.777 0.240 0.653 1
V2 V 0.223 0.740 0.347 1
```